Record 1
This record from the Alexandria database describes a relaxed structure of Cr2CoBiRh. The functional is PBE.

Geometry as CIF:
```
data_Cr2CoBiRh
_chemical_formula_sum 'Cr2 Co1 Bi1 Rh1'
_cell_length_a 4.7422
_cell_length_b 4.7422
_cell_length_c 5.0923
_cell_angle_alpha 90.00
_cell_angle_beta 90.00
_cell_angle_gamma 90.00
_space_group_name_H-M_alt 'P 4/m m m'
_space_group_IT_number 123
_space_group_name_Hall '-P 4 2'
loop_
_atom_site_label
_atom_site_type_symbol
_atom_site_fract_x
_atom_site_fract_y
_atom_site_fract_z
Cr1 Cr 0.0000 0.5000 0.0000
Co1 Co 0.0000 0.0000 0.5000
Bi1 Bi 0.5000 0.5000 0.5000
Rh1 Rh 0.5000 0.5000 0.0000
```

Properties
Total energy   -6.188 eV/atom
Mass density   6.9 Mg/m³

***

Record 2
This record from the Alexandria database describes a relaxed structure of CrCo2SiBi. The functional is PBE.

Geometry as CIF:
```
data_CrCo2SiBi
_chemical_formula_sum 'Cr1 Co2 Si1 Bi1'
_cell_length_a 4.7045
_cell_length_b 4.7045
_cell_length_c 5.2494
_cell_angle_alpha 90.00
_cell_angle_beta 90.00
_cell_angle_gamma 90.00
_space_group_name_H-M_alt 'P 4/m m m'
_space_group_IT_number 123
_space_group_name_Hall '-P 4 2'
loop_
_atom_site_label
_atom_site_type_symbol
_atom_site_fract_x
_atom_site_fract_y
_atom_site_fract_z
Cr1 Cr 0.0000 0.0000 0.0000
Co1 Co 0.0000 0.5000 0.5000
Si1 Si 0.5000 0.5000 0.0000
Bi1 Bi 0.5000 0.5000 0.5000
```

Properties
ΔE_f (raw)   10.95 eV per formula unit
Mass density   5.8 Mg/m³

***

Record 3
This record from the Alexandria database describes a relaxed structure of CsCo3Bi. The functional is PBE.

Geometry as CIF:
```
data_CsCo3Bi
_chemical_formula_sum 'Cs1 Co3 Bi1'
_cell_length_a 5.1278
_cell_length_b 5.1278
_cell_length_c 5.1278
_cell_angle_alpha 90.00
_cell_angle_beta 90.00
_cell_angle_gamma 90.00
_space_group_name_H-M_alt 'P m -3 m'
_space_group_IT_number 221
_space_group_name_Hall '-P 4 2 3'
loop_
_atom_site_label
_atom_site_type_symbol
_atom_site_fract_x
_atom_site_fract_y
_atom_site_fract_z
Cs1 Cs 0.0000 0.0000 0.0000
Co1 Co 0.0000 0.5000 0.5000
Bi1 Bi 0.5000 0.5000 0.5000
```

Properties
Excess energy over the best structure of this formula in the dataset   0 meV per atom
Mass density   6.4 Mg/m³

***

Record 4
This record from the Alexandria database describes a relaxed structure of CsCo3Bi. The functional is PBE.

Geometry as CIF:
```
data_CsCo3Bi
_chemical_formula_sum 'Cs1 Co3 Bi1'
_cell_length_a 4.8259
_cell_length_b 4.8259
_cell_length_c 4.8259
_cell_angle_alpha 90.00
_cell_angle_beta 90.00
_cell_angle_gamma 90.00
_space_group_name_H-M_alt 'P m -3 m'
_space_group_IT_number 221
_space_group_name_Hall '-P 4 2 3'
loop_
_atom_site_label
_atom_site_type_symbol
_atom_site_fract_x
_atom_site_fract_y
_atom_site_fract_z
Cs1 Cs 0.0000 0.0000 0.0000
Co1 Co 0.0000 0.0000 0.5000
Bi1 Bi 0.5000 0.5000 0.5000
```

Properties
Excess energy over the best structure of this formula in the dataset   922 meV per atom
Mass density   7.7 Mg/m³